# LiCoNi6 | Alexandria | PBE | optimized geometry
data_LiCoNi6
_chemical_formula_sum 'Li8 Co8 Ni48'
_symmetry_space_group_name_H-M 'C m m m'
_symmetry_Int_Tables_number 65
_symmetry_space_group_name_Hall '-C 2 2'
_cell_length_a 7.0375
_cell_length_b 9.9479
_cell_length_c 9.9505
_cell_angle_alpha 90.00
_cell_angle_beta 90.00
_cell_angle_gamma 90.00
loop_
_atom_site_label
_atom_site_fract_x
_atom_site_fract_y
_atom_site_fract_z
Li1 0.0000 0.0000 0.2491
Li2 0.0000 0.2504 0.0000
Co1 0.0000 0.2468 0.5000
Co2 0.0000 0.5000 0.2456
Ni1 0.0000 0.0000 0.0000
Ni2 0.0000 0.0000 0.5000
Ni3 0.0000 0.2517 0.2520
Ni4 0.0000 0.5000 0.0000
Ni5 0.0000 0.5000 0.5000
Ni6 0.2475 0.3744 0.3759
Ni7 0.2483 0.3757 0.1258
# DFT formation energy = 1 meV/atom